Entry 1:
Here is crystalline La2IrW at its relaxed geometry from Alexandria. Energies are from PBE-GGA.

**Energy above the most stable polymorph in this dataset**: 0.448 eV/atom
**Magnetic moment**: 0.0000 μB per atom

Cell lengths 3.5883, 4.6288, 5.2809 Å; angles 90.00, 90.00, 90.00 degrees
Space group Pmmm (No. 47)
Unique sites:
La1 0.0000 0.0000 0.0000 [1 per cell]
La2 0.5000 0.0000 0.5000 [1 per cell]
Ir1 0.0000 0.5000 0.5000 [1 per cell]
W1 0.5000 0.5000 0.0000 [1 per cell]

***

Entry 2:
Here is crystalline LaIr2W at its relaxed geometry from Alexandria. Energies are from PBE-GGA.

**Energy above the most stable polymorph in this dataset**: 0.429 eV/atom
**Magnetic moment**: 0.0000 μB per atom

Cell lengths 4.1052, 5.2838, 7.5156 Å; angles 90.00, 90.00, 90.00 degrees
Space group Immm (No. 71)
Unique sites:
La1 0.0000 0.0000 0.0000 [2 per cell]
Ir1 0.0000 0.5000 0.2022 [4 per cell]
W1 0.0000 0.0000 0.5000 [2 per cell]

***

Entry 3:
Here is crystalline LaIr2W at its relaxed geometry from Alexandria. Energies are from PBE-GGA.

**Energy above the most stable polymorph in this dataset**: 0.325 eV/atom
**Magnetic moment**: 0.0000 μB per atom

Cell lengths 5.0210, 5.0210, 2.9288 Å; angles 90.00, 90.00, 90.00 degrees
Space group P4/mmm (No. 123)
Unique sites:
La1 0.0000 0.0000 0.0000 [1 per cell]
Ir1 0.0000 0.5000 0.5000 [2 per cell]
W1 0.5000 0.5000 0.0000 [1 per cell]

***

Entry 4:
Here is crystalline LaIr2W at its relaxed geometry from Alexandria. Energies are from PBE-GGA.

**Energy above the most stable polymorph in this dataset**: 0.328 eV/atom
**Magnetic moment**: 0.0000 μB per atom

Cell lengths 6.0660, 8.0264, 2.9643 Å; angles 90.00, 90.00, 90.00 degrees
Space group Cmmm (No. 65)
Unique sites:
La1 0.0000 0.0000 0.0000 [2 per cell]
Ir1 0.2500 0.2500 0.5000 [4 per cell]
W1 0.0000 0.5000 0.0000 [2 per cell]

***

Entry 5:
Here is crystalline LaIr2W at its relaxed geometry from Alexandria. Energies are from PBE-GGA.

**Energy above the most stable polymorph in this dataset**: 0.554 eV/atom
**Magnetic moment**: 0.0000 μB per atom

Cell lengths 6.7040, 6.7040, 6.7040 Å; angles 90.00, 90.00, 90.00 degrees
Space group Fm-3m (No. 225)
Unique sites:
La1 0.0000 0.0000 0.0000 [4 per cell]
Ir1 0.2500 0.2500 0.2500 [8 per cell]
W1 0.0000 0.0000 0.5000 [4 per cell]

***

Entry 6:
Here is crystalline La2IrW at its relaxed geometry from Alexandria. Energies are from PBE-GGA.

**Energy above the most stable polymorph in this dataset**: 0.000 eV/atom
**Magnetic moment**: 0.2310 μB per atom

Cell lengths 4.2733, 4.2733, 23.0802 Å; angles 90.00, 90.00, 120.00 degrees
Space group R3m (No. 160, hexagonal axes)
Unique sites:
La1 0.0000 0.0000 0.0000 [3 per cell]
La2 0.0000 0.0000 0.1828 [3 per cell]
Ir1 0.0000 0.0000 0.7480 [3 per cell]
W1 0.0000 0.0000 0.4332 [3 per cell]

***

Entry 7:
Here is crystalline LaIr2W at its relaxed geometry from Alexandria. Energies are from PBE-GGA.

**Energy above the most stable polymorph in this dataset**: 0.453 eV/atom
**Magnetic moment**: 0.0000 μB per atom

Cell lengths 7.5034, 7.5034, 6.0405 Å; angles 90.00, 90.00, 90.00 degrees
Space group I-42d (No. 122)
Unique sites:
La1 0.0000 0.0000 0.0000 [4 per cell]
Ir1 0.1942 0.7500 0.6250 [8 per cell]
W1 0.0000 0.0000 0.5000 [4 per cell]

***

Entry 8:
Here is crystalline LaY2Ir at its relaxed geometry from Alexandria. Energies are from PBE-GGA.

**Energy above the most stable polymorph in this dataset**: 0.187 eV/atom
**Magnetic moment**: 0.0000 μB per atom

Cell lengths 4.0560, 4.0560, 26.7543 Å; angles 90.00, 90.00, 120.00 degrees
Space group R3m (No. 160, hexagonal axes)
Unique sites:
La1 0.0000 0.0000 0.0000 [3 per cell]
Y1 0.0000 0.0000 0.5520 [3 per cell]
Y2 0.0000 0.0000 0.7762 [3 per cell]
Ir1 0.0000 0.0000 0.1642 [3 per cell]

***

Entry 9:
Here is crystalline La2Y3Ir2 at its relaxed geometry from Alexandria. Energies are from PBE-GGA.

**Magnetic moment**: 0.0000 μB per atom

Cell lengths 12.4439, 3.8540, 9.2060 Å; angles 90.00, 116.12, 90.00 degrees
Space group C2/m (No. 12)
Unique sites:
La1 0.1700 0.0000 0.3046 [4 per cell]
Y1 0.0000 0.5000 0.5000 [2 per cell]
Y2 0.1201 0.5000 0.9248 [4 per cell]
Ir1 0.1769 0.0000 0.7425 [4 per cell]

***

Entry 10:
Here is crystalline LaY2Ir at its relaxed geometry from Alexandria. Energies are from PBE-GGA.

**Energy above the most stable polymorph in this dataset**: 0.577 eV/atom
**Magnetic moment**: 0.0000 μB per atom

Cell lengths 6.2559, 9.8171, 3.4249 Å; angles 90.00, 107.66, 90.00 degrees
Space group C2/m (No. 12)
Unique sites:
La1 0.0000 0.0000 0.0000 [2 per cell]
Y1 0.2500 0.2500 0.5000 [4 per cell]
Ir1 0.0000 0.5000 0.0000 [2 per cell]

***

Entry 11:
Here is crystalline LaY2Ir at its relaxed geometry from Alexandria. Energies are from PBE-GGA.

**Energy above the most stable polymorph in this dataset**: 0.131 eV/atom
**Magnetic moment**: 0.0000 μB per atom

Cell lengths 3.5082, 3.5082, 9.0587 Å; angles 90.00, 90.00, 90.00 degrees
Space group P4/mmm (No. 123)
Unique sites:
La1 0.0000 0.0000 0.0000 [1 per cell]
Y1 0.5000 0.5000 0.3200 [2 per cell]
Ir1 0.0000 0.0000 0.5000 [1 per cell]

***

Entry 12:
Here is crystalline LaY2Ir at its relaxed geometry from Alexandria. Energies are from PBE-GGA.

**Energy above the most stable polymorph in this dataset**: 0.288 eV/atom
**Magnetic moment**: 0.0000 μB per atom

Cell lengths 8.8666, 8.8666, 6.1932 Å; angles 90.00, 90.00, 90.00 degrees
Space group I-42d (No. 122)
Unique sites:
La1 0.0000 0.0000 0.0000 [4 per cell]
Y1 0.1632 0.2500 0.6250 [8 per cell]
Ir1 0.0000 0.0000 0.5000 [4 per cell]

***

Calculated energy, -7.522; -8.733; -8.837; -8.834; -8.608; -7.970; -8.709; -7.031; -7.296; -6.642; -7.087; -6.930 eV per atom (same order as the records).
Calculated energy of formation, 38.1; 16.1; 6.1; 6.4; 28.2; -5.1; 18.5; -34.0; -56.5; 3.6; -39.4; -24.2 kJ/mol of atoms (same order as the records).